[1]
{"formula": "Nd4TlBiH", "functional": "PBE", "state": "relaxed", "crystal_system": "orthorhombic", "spacegroup": "Cmcm", "lattice_angstrom": [[-0.094, 6.436, 1.587], [-3.612, -1.391, 5.428], [7.517, -4.269, 3.908]], "species": ["Nd", "Nd", "Nd", "Nd", "Nd", "Nd", "Nd", "Nd", "Tl", "Tl", "Bi", "Bi", "H", "H"], "frac_coords": [[0.574, 0.250, 0.148], [0.931, 0.250, 0.862], [0.426, 0.750, 0.852], [0.000, 0.000, 0.500], [0.000, 0.500, 0.500], [0.500, 0.000, 0.500], [0.069, 0.750, 0.138], [0.500, 0.500, 0.500], [0.112, 0.250, 0.223], [0.888, 0.750, 0.777], [0.389, 0.250, 0.777], [0.611, 0.750, 0.223], [0.708, 0.250, 0.417], [0.292, 0.750, 0.583]]}


[2]
{"formula": "NiBiH", "functional": "PBE", "state": "relaxed", "crystal_system": "tetragonal", "spacegroup": "P4/nmm", "lattice_angstrom": [[-2.956, 1.933, -0.462], [-1.757, -2.154, 2.227], [1.935, 4.324, 5.710]], "species": ["H", "H", "Bi", "Bi", "Ni", "Ni"], "frac_coords": [[0.500, 0.000, 0.054], [0.000, 0.500, 0.946], [0.000, 0.500, 0.228], [0.500, 0.000, 0.772], [0.500, 0.500, 0.500], [0.000, 0.000, 0.500]]}


[3]
{"formula": "Ni2BiH", "functional": "PBE", "state": "relaxed", "crystal_system": "trigonal", "spacegroup": "R-3m", "lattice_angstrom": [[3.126, 0.000, 0.000], [1.563, 2.707, 0.000], [1.563, 0.902, 6.852]], "species": ["Ni", "Ni", "Bi", "H"], "frac_coords": [[0.127, 0.127, 0.619], [0.873, 0.873, 0.381], [0.000, 0.000, 0.000], [0.500, 0.500, 0.500]]}


[4]
{"formula": "Ni2BiH2", "functional": "PBE", "state": "relaxed", "crystal_system": "tetragonal", "spacegroup": "I4/mmm", "lattice_angstrom": [[3.339, 0.000, 0.000], [0.000, 3.339, 0.000], [1.670, 1.670, 5.069]], "species": ["H", "H", "Ni", "Ni", "Bi"], "frac_coords": [[0.750, 0.250, 0.500], [0.250, 0.750, 0.500], [0.302, 0.302, 0.396], [0.698, 0.698, 0.604], [0.000, 0.000, 0.000]]}


[5]
{"formula": "Ni12Bi3H5", "functional": "PBE", "state": "relaxed", "crystal_system": "cubic", "spacegroup": "Ia-3d", "lattice_angstrom": [[10.597, 0.000, 0.000], [-3.532, 9.991, 0.000], [-3.532, -4.995, 8.652]], "species": ["Ni", "Ni", "Ni", "Ni", "Ni", "Ni", "Ni", "Ni", "Ni", "Ni", "Ni", "Ni", "Ni", "Ni", "Ni", "Ni", "Ni", "Ni", "Ni", "Ni", "Ni", "Ni", "Ni", "Ni", "Ni", "Ni", "Ni", "Ni", "Ni", "Ni", "Ni", "Ni", "Ni", "Ni", "Ni", "Ni", "Ni", "Ni", "Ni", "Ni", "Ni", "Ni", "Ni", "Ni", "Ni", "Ni", "Ni", "Ni", "H", "H", "H", "H", "H", "H", "H", "H", "H", "H", "H", "H", "H", "H", "H", "H", "H", "H", "H", "H", "Bi", "Bi", "Bi", "Bi", "Bi", "Bi", "Bi", "Bi", "Bi", "Bi", "Bi", "Bi"], "frac_coords": [[0.012, 0.597, 0.193], [0.512, 0.693, 0.097], [0.181, 0.693, 0.097], [0.819, 0.307, 0.903], [0.319, 0.915, 0.012], [0.597, 0.012, 0.693], [0.012, 0.415, 0.319], [0.915, 0.319, 0.512], [0.488, 0.307, 0.903], [0.307, 0.819, 0.403], [0.681, 0.085, 0.988], [0.097, 0.903, 0.415], [0.488, 0.181, 0.085], [0.403, 0.319, 0.307], [0.193, 0.097, 0.012], [0.403, 0.085, 0.597], [0.597, 0.915, 0.403], [0.597, 0.681, 0.693], [0.819, 0.512, 0.415], [0.903, 0.097, 0.915], [0.319, 0.403, 0.807], [0.307, 0.488, 0.403], [0.585, 0.597, 0.903], [0.097, 0.193, 0.181], [0.097, 0.903, 0.085], [0.193, 0.097, 0.681], [0.403, 0.415, 0.597], [0.988, 0.585, 0.681], [0.903, 0.097, 0.585], [0.903, 0.807, 0.488], [0.807, 0.903, 0.988], [0.403, 0.988, 0.307], [0.903, 0.807, 0.819], [0.807, 0.903, 0.319], [0.085, 0.681, 0.488], [0.693, 0.181, 0.597], [0.693, 0.512, 0.597], [0.681, 0.597, 0.193], [0.585, 0.988, 0.181], [0.181, 0.488, 0.585], [0.597, 0.585, 0.403], [0.085, 0.403, 0.097], [0.415, 0.403, 0.097], [0.988, 0.403, 0.807], [0.097, 0.193, 0.512], [0.415, 0.012, 0.819], [0.512, 0.819, 0.915], [0.915, 0.597, 0.903], [0.500, 0.000, 0.500], [0.125, 0.750, 0.375], [0.625, 0.875, 0.250], [0.875, 0.250, 0.625], [0.375, 0.125, 0.750], [0.250, 0.875, 0.125], [0.375, 0.250, 0.125], [0.875, 0.625, 0.750], [0.500, 0.000, 0.000], [0.000, 0.500, 0.500], [0.000, 0.000, 0.000], [0.250, 0.375, 0.625], [0.500, 0.500, 0.000], [0.750, 0.125, 0.875], [0.750, 0.625, 0.375], [0.500, 0.500, 0.500], [0.000, 0.500, 0.000], [0.000, 0.000, 0.500], [0.625, 0.750, 0.875], [0.125, 0.375, 0.250], [0.375, 0.750, 0.625], [0.750, 0.375, 0.125], [0.625, 0.250, 0.375], [0.875, 0.750, 0.125], [0.375, 0.625, 0.250], [0.625, 0.375, 0.750], [0.250, 0.125, 0.375], [0.250, 0.625, 0.875], [0.125, 0.875, 0.750], [0.125, 0.250, 0.875], [0.875, 0.125, 0.250], [0.750, 0.875, 0.625]]}


[6]
{"formula": "Ni2BiH", "functional": "PBE", "state": "relaxed", "crystal_system": "cubic", "spacegroup": "Fm-3m", "lattice_angstrom": [[0.000, 3.021, 3.021], [3.021, 0.000, 3.021], [3.021, 3.021, 0.000]], "species": ["Ni", "Ni", "H", "Bi"], "frac_coords": [[0.750, 0.750, 0.750], [0.250, 0.250, 0.250], [0.000, 0.000, 0.000], [0.500, 0.500, 0.500]]}


no.,M_tot (μB per formula unit),N(E_F) (states/eV per cell),raw total energy (eV per atom)
1,0.00,16.34,-4.62
2,0.00,3.39,-3.87
3,0.01,5.91,-4.25
4,0.00,2.00,-4.36
5,0.00,60.79,-4.75
6,0.00,2.72,-4.04